No. 1
Below is a relaxed structure of BaSmGd, with properties calculated at the PBE level.

Lattice parameters (Å, degrees): 3.7907 3.7907 16.7196 90.00 90.00 90.00
Last column: nearest neighbours and their distance in Å.
Space group I4mm (No. 107)
Asymmetric unit:
Ba 0.0000 0.0000 0.0000  4 Ba 3.79, 4 Sm 4.04, 4 Gd 4.07
Sm 0.0000 0.0000 0.6808  4 Gd 3.51, 4 Sm 3.79
Gd 0.0000 0.0000 0.3168  4 Sm 3.51, 4 Gd 3.79

Output
Excess energy over the best structure of this formula in the dataset (meV per atom): 0

No. 2
Below is a relaxed structure of BaGdSn4, with properties calculated at the PBE level.

Lattice parameters (Å, degrees): 9.0001 9.0001 9.0001 90.00 90.00 90.00
Last column: nearest neighbours and their distance in Å.
Space group F-43m (No. 216)
Asymmetric unit:
Ba 0.0000 0.0000 0.0000  12 Sn 3.73, 4 Gd 3.90
Gd 0.2500 0.2500 0.2500  12 Sn 3.73, 4 Ba 3.90
Sn 0.1238 0.1238 0.6238  6 Sn 3.15-3.21

No. 3
Below is a relaxed structure of BaGdSn, with properties calculated at the PBE level.

Lattice parameters (Å, degrees): 5.3026 5.3026 4.8150 90.00 90.00 120.00
Last column: nearest neighbours and their distance in Å.
Space group P3m1 (No. 156)
Asymmetric unit:
Ba 0.0000 0.0000 0.0000  6 Sn 3.89-3.90, 6 Gd 3.89-3.90
Gd 0.3333 0.6667 0.5005  3 Sn 3.06
Sn 0.6667 0.3333 0.4987  3 Gd 3.06

No. 4
Below is a relaxed structure of BaSrGd, with properties calculated at the PBE level.

Lattice parameters (Å, degrees): 4.0626 4.0626 9.9636 90.00 90.00 120.00
Last column: nearest neighbours and their distance in Å.
Space group P3m1 (No. 156)
Asymmetric unit:
Ba 0.0000 0.0000 0.0000  3 Gd 3.93, 6 Ba 4.06, 3 Sr 4.40
Sr 0.3333 0.6667 0.6268  3 Gd 3.88, 6 Sr 4.06
Gd 0.6667 0.3333 0.3167  3 Sr 3.88, 3 Ba 3.93, 6 Gd 4.06

Output
Excess energy over the best structure of this formula in the dataset (meV per atom): 9

No. 5
Below is a relaxed structure of BaSr2Gd, with properties calculated at the PBE level.

Lattice parameters (Å, degrees): 6.5516 6.5516 4.5599 90.00 90.00 90.00
Last column: nearest neighbours and their distance in Å.
Space group P4/mmm (No. 123)
Asymmetric unit:
Ba 0.0000 0.0000 0.0000  8 Sr 3.99
Sr 0.0000 0.5000 0.5000  4 Gd 3.99, 4 Ba 3.99
Gd 0.5000 0.5000 0.0000  8 Sr 3.99

Output
Excess energy over the best structure of this formula in the dataset (meV per atom): 53

No. 6
Below is a relaxed structure of BaSrGd, with properties calculated at the PBE level.

Lattice parameters (Å, degrees): 4.0484 4.0484 17.5363 90.00 90.00 90.00
Last column: nearest neighbours and their distance in Å.
Space group I4mm (No. 107)
Asymmetric unit:
Ba 0.0000 0.0000 0.0000  4 Gd 3.95, 4 Ba 4.05, 4 Sr 4.41
Sr 0.0000 0.0000 0.6909  4 Gd 3.93, 4 Sr 4.05
Gd 0.0000 0.0000 0.3446  4 Sr 3.93, 4 Ba 3.95, 4 Gd 4.05

Output
Excess energy over the best structure of this formula in the dataset (meV per atom): 0

no.,DOS at the Fermi energy (states/eV/cell),total magnetic moment (Bohr magnetons per cell),energy of formation from the pure elements (meV per atom)
1,9.04,15.42,143
2,30.96,29.35,-385
3,3.65,7.37,-379
4,6.61,8.11,172
5,9.15,7.64,183
6,13.27,16.48,162